VASP calculation (GGA+U) on a relaxed structure of AcTlMoO6.

a b c (Å): 5.706 5.706 5.227
angles (deg): 91.43 88.58 58.13
Fractional positions:
Mo  0.347  0.347  0.500
Ac  0.009  0.009  0.000
O  0.615  0.330  0.711
O  0.050  0.600  0.735
O  0.027  0.348  0.299
O  0.600  0.050  0.265
O  0.348  0.027  0.701
O  0.330  0.615  0.289
Tl  0.675  0.675  0.500

Final energy: -6.653 eV per atom
Theoretical density: 7.2 g/cm3
Total moment: 0.00 μB/cell